Record 1
ZrAgHg2: optimized geometry, GGA-PBE.

Summary:
calculated formation energy: -0.01 eV/atom

Cell lengths 2.9967, 4.8535, 5.8734 Å; angles 90.00, 93.58, 90.00 degrees
With the nearest neighbours (Å) after each atom.
Space group Pm (No. 6)
One atom of each set of equivalent atoms:
Zr (0.0000, 0.0000, 0.0000) x1  2 Zr 3.00, 6 Hg 3.13-3.29, 4 Ag 3.15-3.27
Ag (0.5745, 0.5000, 0.2493) x1  4 Hg 2.80-3.11, 2 Ag 3.00
Hg (0.4643, 0.5000, 0.7720) x1  2 Ag 2.80-3.11, 4 Hg 2.94-3.00
Hg (0.4768, 0.0000, 0.4899) x1  2 Ag 2.83, 4 Hg 2.94-3.00, 1 Zr 3.13


Record 2
Zr2AgHg: optimized geometry, GGA-PBE.

Summary:
calculated formation energy: 0.26 eV/atom

Cell lengths 7.9565, 7.9565, 5.6612 Å; angles 90.00, 90.00, 90.00 degrees
With the nearest neighbours (Å) after each atom.
Space group I-42d (No. 122)
One atom of each set of equivalent atoms:
Zr (0.2398, 0.2500, 0.1250) x8  2 Zr 2.84, 2 Ag 2.85, 2 Hg 2.96
Ag (0.0000, 0.0000, 0.0000) x4  2 Hg 2.83, 4 Zr 2.85
Hg (0.0000, 0.0000, 0.5000) x4  2 Ag 2.83, 4 Zr 2.96


Record 3
Zr2AgHg: optimized geometry, GGA-PBE.

Summary:
calculated formation energy: -0.07 eV/atom

Cell lengths 3.0447, 5.0889, 5.3716 Å; angles 90.00, 90.00, 90.00 degrees
With the nearest neighbours (Å) after each atom.
Space group Pmm2 (No. 25)
One atom of each set of equivalent atoms:
Zr (0.0000, 0.0000, 0.0000) x1  4 Hg 3.03-3.14, 4 Zr 3.04-3.23, 4 Ag 3.06
Zr (0.0000, 0.5000, 0.3711) x1  4 Zr 3.04-3.23, 4 Ag 3.05-3.13, 4 Hg 3.06
Ag (0.5000, 0.5000, 0.8621) x1  2 Ag 3.04, 8 Zr 3.05-3.13, 2 Hg 3.17
Hg (0.5000, 0.0000, 0.5114) x1  8 Zr 3.03-3.14, 2 Hg 3.04, 2 Ag 3.17


Record 4
Zr2AgHg: optimized geometry, GGA-PBE.

Summary:
calculated formation energy: -0.09 eV/atom

Cell lengths 6.2252, 8.7633, 3.0468 Å; angles 90.00, 90.00, 90.00 degrees
With the nearest neighbours (Å) after each atom.
Space group Cmmm (No. 65)
One atom of each set of equivalent atoms:
Zr (0.2500, 0.2500, 0.0000) x4  4 Zr 3.05-3.11, 4 Hg 3.09, 4 Ag 3.09
Ag (0.0000, 0.0000, 0.5000) x2  2 Ag 3.05, 8 Zr 3.09, 2 Hg 3.11
Hg (0.0000, 0.5000, 0.5000) x2  2 Hg 3.05, 8 Zr 3.09, 2 Ag 3.11